Record 1
Computed, not measured: an optimized crystal structure of LiHfHg2 at the PBE-GGA level of DFT.

```
LiHfHg2
1.0
-3.8084 2.0355 0.9837
-1.8320 -1.6497 -3.6792
-5.5932 -7.2823 3.3848
Li Hg Hf
2 4 2
direct
0.5000 0.5000 0.0000
0.2500 0.7500 0.5000
0.1543 0.6250 0.2500
0.3750 0.4043 0.7500
0.5957 0.1250 0.2500
0.8750 0.8457 0.7500
0.7500 0.2500 0.5000
0.0000 0.0000 0.0000
```

Formation enthalpy at 0 K   0.3008 eV per atom
Space group   I-42d (122)
Electronic total energy   -2.82 eV/atom

---

Record 2
Computed, not measured: an optimized crystal structure of RbPtCl at the PBE-GGA level of DFT.

```
RbPtCl
1.0
8.4257 -0.0038 -0.0085
-2.5478 6.0320 0.0203
1.3600 -3.2424 3.9434
Cl Rb Pt
2 2 2
direct
0.7991 0.7737 0.6399
0.3994 0.0761 0.6425
0.3688 0.4774 0.4735
0.8288 0.2056 0.4714
0.0989 0.4532 0.0481
0.0993 0.9298 0.6401
```

Space group   P1 (1)
Electronic total energy   -3.63 eV/atom

---

Record 3
Computed, not measured: an optimized crystal structure of AlV3Pb at the PBE-GGA level of DFT.

```
AlV3Pb
1.0
4.6163 0.0000 0.0000
0.0000 4.6163 0.0000
0.0000 0.0000 4.6163
Al V Pb
1 3 1
direct
0.0000 0.0000 0.0000
0.5000 0.0000 0.0000
0.0000 0.5000 0.0000
0.0000 0.0000 0.5000
0.5000 0.5000 0.5000
```

Formation enthalpy at 0 K   1.0116 eV per atom
Space group   Pm-3m (221)
Electronic total energy   -5.95 eV/atom

---

Record 4
Computed, not measured: an optimized crystal structure of Y2Al4Ir3Pt at the PBE-GGA level of DFT.

```
Y2Al4Ir3Pt
1.0
4.1714 0.0000 0.0000
0.0000 4.1714 0.0000
0.0000 0.0000 10.4436
Pt Y Ir Al
1 2 3 4
direct
0.5000 0.5000 0.5000
0.0000 0.5000 0.7473
0.5000 0.0000 0.2527
0.0000 0.5000 0.1367
0.0000 0.0000 0.5000
0.5000 0.0000 0.8633
0.5000 0.5000 0.0000
0.0000 0.0000 0.0000
0.5000 0.0000 0.6280
0.0000 0.5000 0.3720
```

Formation enthalpy at 0 K   -0.9536 eV per atom
Space group   P-4m2 (115)
Electronic total energy   -7.01 eV/atom

---

Record 5
Computed, not measured: an optimized crystal structure of Y2ReCl at the PBE-GGA level of DFT.

```
Y2ReCl
1.0
-5.0610 -3.5688 5.3525
-2.2209 -7.1572 3.2927
5.4560 5.5215 -2.5972
Cl Y Re
1 2 1
direct
0.4486 0.4486 0.0000
0.0678 0.0678 0.0000
0.7865 0.2865 0.5000
0.1970 0.6970 0.5000
```

Space group   Imm2 (44)
Electronic total energy   -7.16 eV/atom

---

Record 6
Computed, not measured: an optimized crystal structure of MgBeRu2 at the PBE-GGA level of DFT.

```
MgBeRu2
1.0
-3.3235 0.3621 3.6180
-0.1189 -4.2614 -2.4685
0.9080 -1.7600 1.8150
Ru Be Mg
2 1 1
direct
0.5000 0.5000 0.0000
0.0000 0.0000 0.0000
0.5000 0.0000 0.5000
0.0000 0.5000 0.5000
```

Formation enthalpy at 0 K   0.1781 eV per atom
Space group   C2/m (12)
Electronic total energy   -5.79 eV/atom

---

Record 7
Computed, not measured: an optimized crystal structure of DyPa2Ni9 at the PBE-GGA level of DFT.

```
DyPa2Ni9
1.0
4.9118 0.0000 0.0000
2.4559 4.2537 0.0000
2.4559 1.4179 8.2048
Ni Dy Pa
9 1 2
direct
0.0820 0.5835 0.7510
0.6670 0.6670 0.9990
0.5000 0.5000 0.5000
0.5835 0.0820 0.7510
0.5835 0.5835 0.7510
0.9180 0.4165 0.2490
0.4165 0.9180 0.2490
0.3330 0.3330 0.0010
0.4165 0.4165 0.2490
0.0000 0.0000 0.0000
0.8608 0.8608 0.4175
0.1392 0.1392 0.5825
```

Formation enthalpy at 0 K   -0.4168 eV per atom
Space group   R-3m (166)
Electronic total energy   -6.72 eV/atom

---

Record 8
Computed, not measured: an optimized crystal structure of Sr2SiPbS at the PBE-GGA level of DFT.

```
Sr2SiPbS
1.0
5.6716 0.0000 0.0000
0.0000 4.8405 0.0000
0.0000 0.0000 5.6716
Sr S Si Pb
2 1 1 1
direct
0.0000 0.0000 0.5000
0.5000 0.0000 0.0000
0.0000 0.0000 0.0000
0.0000 0.5000 0.0000
0.5000 0.5000 0.5000
```

Space group   P4/mmm (123)
Electronic total energy   -3.85 eV/atom

---

Record 9
Computed, not measured: an optimized crystal structure of Mg4InAg2 at the PBE-GGA level of DFT.

```
Mg4InAg2
1.0
4.4290 0.0000 0.0000
2.2145 3.8357 0.0000
2.2145 1.2786 9.8017
Mg Ag In
4 2 1
direct
0.8028 0.8028 0.5915
0.1972 0.1972 0.4085
0.6085 0.6085 0.1744
0.3915 0.3915 0.8256
0.0984 0.0984 0.7049
0.9016 0.9016 0.2951
0.0000 0.0000 0.0000
```

Formation enthalpy at 0 K   -0.0201 eV per atom
Space group   R-3m (166)
Electronic total energy   -2.14 eV/atom

---

Record 10
Computed, not measured: an optimized crystal structure of LiPm2Al3 at the PBE-GGA level of DFT.

```
LiPm2Al3
1.0
-0.7316 1.3816 -4.2373
3.7146 -0.2009 -0.7068
-2.3676 -8.3828 0.0825
Pm Al Li
2 3 1
direct
0.1275 0.1275 0.2550
0.8740 0.3740 0.7480
0.5486 0.5486 0.0972
0.2913 0.7913 0.5825
0.7099 0.7099 0.4197
0.4488 0.9488 0.8975
```

Formation enthalpy at 0 K   -0.2690 eV per atom
Space group   Imm2 (44)
Electronic total energy   -4.04 eV/atom

---

Record 11
Computed, not measured: an optimized crystal structure of MgRuPt2 at the PBE-GGA level of DFT.

```
MgRuPt2
1.0
9.0843 0.0131 0.0077
8.6464 2.7864 0.0077
8.6464 1.3652 2.4291
Pt Ru Mg
2 1 1
direct
0.4997 0.4997 0.4997
0.0003 0.0003 0.0003
0.2500 0.2500 0.2500
0.7500 0.7500 0.7500
```

Formation enthalpy at 0 K   -0.2299 eV per atom
Space group   R-3m (166)
Electronic total energy   -5.97 eV/atom

---

Record 12
Computed, not measured: an optimized crystal structure of Er5PuIn3 at the PBE-GGA level of DFT.

```
Er5PuIn3
1.0
-4.6210 4.1074 2.3303
-0.1825 -4.7174 7.9528
5.8137 7.1199 -1.0209
In Er Pu
6 10 2
direct
0.2500 0.0000 0.3485
0.7500 0.3485 0.3485
0.7500 0.0000 0.6515
0.2500 0.6515 0.6515
0.7500 0.6515 0.0000
0.2500 0.3485 0.0000
0.7500 0.0000 0.3174
0.7500 0.6826 0.6826
0.2500 0.6826 0.0000
0.0000 0.3333 0.6667
0.7500 0.3174 0.0000
0.0000 0.6667 0.3333
0.5000 0.6667 0.3333
0.2500 0.3174 0.3174
0.2500 0.0000 0.6826
0.5000 0.3333 0.6667
0.5000 0.0000 0.0000
0.0000 0.0000 0.0000
```

Formation enthalpy at 0 K   -0.3251 eV per atom
Space group   P6_3/mcm (193)
Electronic total energy   -5.37 eV/atom